Entry from Alexandria: a relaxed structure of ZrCuI6 (PBE-GGA).

Calculated values
The value obtained for the raw formation energy is -506.8 meV per atom. Its space group is P-1 (2).

abc: 6.4894 9.4321 8.5000
angles: 49.53 67.70 63.80
Atoms (fractional coordinates):
I: 0.8645 0.6483 0.2221
I: 0.2039 0.8404 0.3583
I: 0.4020 0.8196 0.8470
I: 0.5980 0.1804 0.1530
I: 0.1355 0.3517 0.7779
I: 0.7961 0.1596 0.6417
Zr: 0.0000 0.0000 0.0000
Cu: 0.5000 0.5000 0.5000